# 1
GaSiHgIr2: relaxed, GGA-PBE.

a = 4.4995 Å, b = 5.0155 Å, c = 4.4995 Å
α = 90.00°, β = 90.00°, γ = 90.00°
Positions (direct):
Si (0.0000, 0.0000, 0.0000)
Ir (0.0000, 0.0000, 0.5000)
Ir (0.5000, 0.0000, 0.0000)
Hg (0.0000, 0.5000, 0.0000)
Ga (0.5000, 0.5000, 0.5000)

Computed properties:
* volume: 20.3 Å³ per atom
* mass density: 11.2 Mg/m³
* calculated total energy: -4.63 eV per atom
* formation energy (no corrections): 669 meV/atom


# 2
Tl2GaHgIr: relaxed, GGA-PBE.

a = 5.3472 Å, b = 5.3472 Å, c = 4.8584 Å
α = 90.00°, β = 90.00°, γ = 90.00°
Positions (direct):
Tl (0.0000, 0.5000, 0.0000)
Tl (0.5000, 0.0000, 0.0000)
Ir (0.0000, 0.0000, 0.0000)
Hg (0.5000, 0.5000, 0.5000)
Ga (0.0000, 0.0000, 0.5000)

Computed properties:
* ΔE_f: -0.04 eV per atom
* volume: 27.8 Å³ per atom
* mass density: 10.4 Mg/m³
* calculated total energy: -3.42 eV per atom


# 3
YGa2HgIr: relaxed, GGA-PBE.

a = 4.8158 Å, b = 4.8158 Å, c = 5.4212 Å
α = 90.00°, β = 90.00°, γ = 90.00°
Positions (direct):
Y (0.0000, 0.0000, 0.5000)
Ir (0.0000, 0.0000, 0.0000)
Hg (0.5000, 0.5000, 0.5000)
Ga (0.0000, 0.5000, 0.0000)
Ga (0.5000, 0.0000, 0.0000)

Computed properties:
* ΔE_f: -0.39 eV per atom
* volume: 25.1 Å³ per atom
* mass density: 8.2 Mg/m³
* calculated total energy: -4.72 eV per atom